--- P ---
Computed, not measured: a relaxed FeAsS2N crystal at the PBE-GGA level of DFT.

Structure (extended XYZ):
```
5
Lattice="-3.6285 -2.9895 -0.9850 2.6486 -2.0877 -3.4204 1.2819 -2.3570 2.4313" Properties=species:S:1:pos:R:3 pbc="T T T"
S 1.3243 -1.0439 -1.7102
S -1.8142 -1.4947 -0.4925
As 0.0000 0.0000 0.0000
Fe 0.1510 -3.7171 -0.9870
N 0.6410 -1.1785 1.2157
```

Computed properties:
Calculated density   4152 kg/m³
Magnetization   4.62 μB/cell

--- Q ---
Computed, not measured: a relaxed FeAsS2N crystal at the PBE-GGA level of DFT.

Structure (extended XYZ):
```
5
Lattice="-1.3509 2.4627 3.6943 0.0018 -3.8612 2.5747 3.2701 0.5530 0.8271" Properties=species:S:1:pos:R:3 pbc="T T T"
N 1.6350 0.2765 0.4136
S 0.0009 -1.9306 1.2873
S -0.6754 1.2314 1.8472
Fe 0.0000 0.0000 0.0000
As 0.9605 -0.4227 3.5480
```

Computed properties:
Calculated density   4712 kg/m³
Magnetization   0.53 μB/cell

Short version: P is the least stable of them.

--- P ---
Computed, not measured: a relaxed FeTe2AsN crystal at the PBE-GGA level of DFT.

Structure (extended XYZ):
```
5
Lattice="-2.3919 -1.4235 4.4833 -1.0599 -4.7372 -2.0696 2.9828 -1.1966 1.2114" Properties=species:S:1:pos:R:3 pbc="T T T"
Te -0.5299 -2.3686 -1.0348
Te -1.1960 -0.7117 2.2416
N 1.4914 -0.5983 0.6057
Fe 0.0000 0.0000 0.0000
As -0.2345 -3.6786 1.8126
```

Computed properties:
Calculated density   6944 kg/m³
Magnetization   0.00 μB/cell

--- Q ---
Computed, not measured: a relaxed FeTe2AsN crystal at the PBE-GGA level of DFT.

Structure (extended XYZ):
```
5
Lattice="5.4757 0.0000 0.0000 0.0000 5.4757 0.0000 0.0000 0.0000 3.5401" Properties=species:S:1:pos:R:3 pbc="T T T"
Fe 2.7378 2.7378 1.7701
N 0.0000 0.0000 1.7701
As 0.0000 0.0000 0.0000
Te 2.7378 0.0000 0.0000
Te 0.0000 2.7378 0.0000
```

Computed properties:
Calculated density   6257 kg/m³
Magnetization   0.03 μB/cell

Short version: Q is the least stable of them.

--- P ---
Computed, not measured: a relaxed NaFeAs3 crystal at the PBE-GGA level of DFT.

Structure (extended XYZ):
```
5
Lattice="-3.6830 -0.9092 -2.7330 -2.6696 -0.5877 3.7931 -1.0812 4.5484 -0.0562" Properties=species:S:1:pos:R:3 pbc="T T T"
As -1.3348 -0.2939 1.8966
As -0.5406 2.2742 -0.0281
As -1.8415 -0.4546 -1.3665
Fe 0.0000 0.0000 0.0000
Na -3.7169 1.5257 0.5020
```

Computed properties:
Calculated density   4933 kg/m³
Magnetization   0.00 μB/cell

--- Q ---
Computed, not measured: a relaxed NaFeAs3 crystal at the PBE-GGA level of DFT.

Structure (extended XYZ):
```
5
Lattice="4.8712 0.0000 0.0000 0.0000 4.8712 0.0000 0.0000 0.0000 4.8712" Properties=species:S:1:pos:R:3 pbc="T T T"
As 0.0000 0.0000 2.4356
As 2.4356 0.0000 0.0000
As 0.0000 2.4356 0.0000
Na 0.0000 0.0000 0.0000
Fe 2.4356 2.4356 2.4356
```

Computed properties:
Calculated density   4362 kg/m³
Magnetization   0.10 μB/cell

Short version: Q is the least stable of them.

--- P ---
Computed, not measured: a relaxed NaFeAsSe2 crystal at the PBE-GGA level of DFT.

Structure (extended XYZ):
```
5
Lattice="5.0041 0.0000 0.0000 0.0000 5.0041 0.0000 0.0000 0.0000 4.5306" Properties=species:S:1:pos:R:3 pbc="T T T"
Se 2.5021 0.0000 0.0000
Se 0.0000 2.5021 0.0000
Na 2.5021 2.5021 2.2653
Fe 0.0000 0.0000 0.0000
As 0.0000 0.0000 2.2653
```

Computed properties:
Calculated density   4562 kg/m³
Magnetization   2.61 μB/cell

--- Q ---
Computed, not measured: a relaxed NaFeAsSe2 crystal at the PBE-GGA level of DFT.

Structure (extended XYZ):
```
5
Lattice="-3.1626 -0.3508 -3.9343 3.8972 -1.0973 -3.0349 -0.6247 -4.7884 0.9291" Properties=species:S:1:pos:R:3 pbc="T T T"
Fe 0.0550 -3.1183 -3.0200
Se 1.9486 -0.5487 -1.5175
Se -1.5813 -0.1754 -1.9671
Na 0.0000 0.0000 0.0000
As -0.3124 -2.3942 0.4646
```

Computed properties:
Calculated density   4111 kg/m³
Magnetization   3.63 μB/cell

Short version: Q is the least stable of them.

--- P ---
Computed, not measured: a relaxed Nb3FeAs crystal at the PBE-GGA level of DFT.

Structure (extended XYZ):
```
5
Lattice="4.6962 0.0000 0.0000 0.0000 4.6962 0.0000 0.0000 0.0000 4.6962" Properties=species:S:1:pos:R:3 pbc="T T T"
Nb 2.3481 0.0000 0.0000
Nb 0.0000 2.3481 0.0000
Nb 0.0000 0.0000 2.3481
As 0.0000 0.0000 0.0000
Fe 2.3481 2.3481 2.3481
```

Computed properties:
Calculated density   6565 kg/m³
Magnetization   0.00 μB/cell

--- Q ---
Computed, not measured: a relaxed Nb3FeAs crystal at the PBE-GGA level of DFT.

Structure (extended XYZ):
```
5
Lattice="4.5905 0.0000 0.0000 0.0000 4.5905 0.0000 0.0000 0.0000 4.5905" Properties=species:S:1:pos:R:3 pbc="T T T"
Fe 0.0000 0.0000 0.0000
Nb 2.2952 0.0000 0.0000
Nb 0.0000 0.0000 2.2952
Nb 0.0000 2.2952 0.0000
As 2.2952 2.2952 2.2952
```

Computed properties:
Calculated density   7029 kg/m³
Magnetization   0.00 μB/cell

Short version: P is the least stable of them.

--- P ---
Computed, not measured: a relaxed NbFeAs2Se crystal at the PBE-GGA level of DFT.

Structure (extended XYZ):
```
5
Lattice="-1.1441 0.5362 -4.2206 3.7151 -2.0042 -1.2617 -2.3849 -4.4703 0.0786" Properties=species:S:1:pos:R:3 pbc="T T T"
As -0.5721 0.2681 -2.1103
As 1.8575 -1.0021 -0.6308
Nb 0.0930 -2.9692 -2.7018
Se -1.1925 -2.2352 0.0393
Fe 0.0000 0.0000 0.0000
```

Computed properties:
Calculated density   6374 kg/m³
Magnetization   3.05 μB/cell

--- Q ---
Computed, not measured: a relaxed NbFeAs2Se crystal at the PBE-GGA level of DFT.

Structure (extended XYZ):
```
5
Lattice="5.0181 0.0000 0.0000 0.0000 5.0181 0.0000 0.0000 0.0000 4.9621" Properties=species:S:1:pos:R:3 pbc="T T T"
Fe 2.5090 2.5090 2.4811
Nb 0.0000 0.0000 0.0000
Se 0.0000 0.0000 2.4811
As 2.5090 0.0000 0.0000
As 0.0000 2.5090 0.0000
```

Computed properties:
Calculated density   5017 kg/m³
Magnetization   3.53 μB/cell

Short version: Q is the least stable of them.

--- P ---
Computed, not measured: a relaxed Fe2Ni8As crystal at the PBE-GGA level of DFT.

Structure (extended XYZ):
```
11
Lattice="-1.5435 -3.1557 -0.7174 4.7843 -2.6272 1.2634 -2.4467 1.8938 5.8938" Properties=species:S:1:pos:R:3 pbc="T T T"
Ni 2.4147 -3.8543 2.7994
Ni -0.0134 -1.1748 5.1966
Ni 0.8036 -3.4803 4.6206
Ni -1.6205 -0.0349 3.6404
Ni 3.1884 -1.8800 1.4102
Ni -0.0095 -0.4089 1.8192
Ni 0.8075 -2.7144 1.2432
Ni -2.3942 -2.0092 5.0296
Fe -0.8408 -2.3411 3.1471
Fe 1.6349 -1.5481 3.2926
As -0.7717 -1.5779 -0.3587
```

Computed properties:
Calculated density   8756 kg/m³
Magnetization   8.87 μB/cell

--- Q ---
Computed, not measured: a relaxed Fe2Ni8As crystal at the PBE-GGA level of DFT.

Structure (extended XYZ):
```
11
Lattice="-1.7181 -1.1014 3.3595 4.3982 -3.7549 1.0166 1.7317 5.0095 2.5262" Properties=species:S:1:pos:R:3 pbc="T T T"
Ni 3.2390 0.2882 4.0474
Ni 2.8802 -2.1398 3.0693
Ni 1.5316 2.2931 3.8329
Ni 3.7240 -1.2455 6.0910
Ni 3.0032 1.1235 6.4990
Ni 1.4085 -0.9702 0.4032
Ni 0.6878 1.3988 0.8112
Ni 1.1727 -0.1350 2.8548
Fe 3.3950 -0.4575 1.5845
Fe 2.7349 1.7121 1.9582
As -0.8591 -0.5507 1.6797
```

Computed properties:
Calculated density   8304 kg/m³
Magnetization   8.29 μB/cell

Short version: Q is the least stable of them.

--- P ---
Computed, not measured: a relaxed FeNiAsP2 crystal at the PBE-GGA level of DFT.

Structure (extended XYZ):
```
10
Lattice="6.2289 0.0000 -0.0126 0.0000 3.2393 0.0000 -2.9569 0.0000 6.9154" Properties=species:S:1:pos:R:3 pbc="T T T"
Fe 0.1333 1.6197 1.5189
Fe -1.3452 0.0000 4.9766
As 4.6957 0.0000 0.5169
As 3.2172 1.6197 3.9745
P -0.4431 0.0000 2.9746
P 0.2049 1.6197 5.7829
P -1.9215 1.6197 6.4323
P 1.6834 0.0000 2.3252
Ni 2.7875 1.6197 1.2367
Ni 1.3090 0.0000 4.6944
```

Computed properties:
Calculated density   5989 kg/m³
Magnetization   0.00 μB/cell

--- Q ---
Computed, not measured: a relaxed FeNiAsP2 crystal at the PBE-GGA level of DFT.

Structure (extended XYZ):
```
5
Lattice="-2.1007 1.8068 -0.2874 -2.0524 -0.7779 -3.4140 -4.9016 -5.3689 2.0438" Properties=species:S:1:pos:R:3 pbc="T T T"
Fe -5.8246 -2.8053 1.2853
P -3.5195 -2.3465 0.8429
P -5.6009 -4.8284 0.4265
As -2.1339 -1.1875 -2.0022
Ni -4.2976 -3.5118 -0.8212
```

Computed properties:
Calculated density   5381 kg/m³
Magnetization   0.00 μB/cell

--- R ---
Computed, not measured: a relaxed FeNiAsP2 crystal at the PBE-GGA level of DFT.

Structure (extended XYZ):
```
10
Lattice="3.3746 0.0000 0.0085 0.0000 4.3818 0.0000 -0.3740 0.0000 9.3460" Properties=species:S:1:pos:R:3 pbc="T T T"
Ni 2.9286 0.0000 7.3089
Ni 3.1155 2.1909 2.6359
As -0.2809 2.1909 8.3515
As -0.0939 0.0000 3.6784
Fe 1.3818 0.0000 1.6972
Fe 1.1948 2.1909 6.3702
P 1.2404 0.0000 5.8072
P 3.0830 0.0000 0.2802
P 1.4273 2.1909 1.1342
P 2.8960 2.1909 4.9532
```

Computed properties:
Calculated density   6041 kg/m³
Magnetization   0.00 μB/cell

--- S ---
Computed, not measured: a relaxed FeNiAsP2 crystal at the PBE-GGA level of DFT.

Structure (extended XYZ):
```
5
Lattice="-1.4223 2.6671 1.3782 -2.4376 -1.6138 -3.3812 -1.0772 -2.9714 4.6122" Properties=species:S:1:pos:R:3 pbc="T T T"
Fe -1.2299 -1.0842 3.4162
Ni -2.6683 0.9289 2.0464
P -2.9627 -1.3571 2.1611
P -2.4767 -0.6246 5.2436
As -3.1049 -0.2295 -0.1633
```

Computed properties:
Calculated density   5785 kg/m³
Magnetization   0.00 μB/cell

Short version: R is the least stable of them.

--- P ---
Computed, not measured: a relaxed FeNiAsP2 crystal at the PBE-GGA level of DFT.

Structure (extended XYZ):
```
5
Lattice="-2.6470 -1.6025 -1.9839 3.3061 -0.4256 -2.7028 0.2686 -3.6465 3.2597" Properties=species:S:1:pos:R:3 pbc="T T T"
Ni -1.4856 -2.9896 -0.7353
As 2.1842 -1.3882 -2.0844
P -1.4171 -5.2025 0.8026
P 0.6827 -3.1224 -0.1078
Fe -0.6834 -3.3464 1.6903
```

Computed properties:
Calculated density   5808 kg/m³
Magnetization   0.00 μB/cell

--- Q ---
Computed, not measured: a relaxed FeNiAsP2 crystal at the PBE-GGA level of DFT.

Structure (extended XYZ):
```
10
Lattice="-1.8562 -3.1176 -6.4463 3.0858 -1.1784 -0.3186 -1.5294 -4.7393 2.7165" Properties=species:S:1:pos:R:3 pbc="T T T"
P 0.0783 -4.0961 -1.3728
P 0.7006 -3.0547 0.8018
P -1.6070 -4.8351 2.3193
P -2.2293 -5.8765 0.1448
As -2.4238 -5.4835 -3.1928
As -0.1162 -3.7031 -4.7104
Fe -0.1314 -5.1771 0.5946
Fe -0.9095 -2.2182 -0.6043
Ni -1.5387 -3.2710 -2.8038
Ni -0.7605 -6.2299 -1.6049
```

Computed properties:
Calculated density   5996 kg/m³
Magnetization   0.00 μB/cell

Short version: P is the least stable of them.

--- P ---
Computed, not measured: a relaxed FeNiAsP2 crystal at the PBE-GGA level of DFT.

Structure (extended XYZ):
```
10
Lattice="-6.7315 2.8971 1.4421 -0.6835 -2.4966 1.8251 5.3797 1.4960 4.0610" Properties=species:S:1:pos:R:3 pbc="T T T"
Fe -5.3948 1.1221 2.2627
Fe -2.3632 3.1184 3.3806
As -1.0772 -0.4072 1.7877
As 1.9544 1.5891 2.9057
Ni 2.0269 1.3599 5.3673
Ni -0.3212 1.8602 2.4243
P -3.3618 2.0880 1.5972
P -1.3161 4.0899 5.1018
P -4.3477 2.0937 3.9838
P -1.0137 1.5877 4.5402
```

Computed properties:
Calculated density   5921 kg/m³
Magnetization   1.55 μB/cell

--- Q ---
Computed, not measured: a relaxed FeNiAsP2 crystal at the PBE-GGA level of DFT.

Structure (extended XYZ):
```
10
Lattice="2.8288 0.0000 0.0000 0.0000 3.6545 0.0000 0.0000 0.0000 14.0968" Properties=species:S:1:pos:R:3 pbc="T T T"
Fe 1.4144 1.8273 8.9530
Fe 1.4144 0.0000 1.9045
P 0.0000 0.0000 0.2070
P 0.0000 1.8273 2.5933
P 0.0000 0.0000 9.6417
P 0.0000 1.8273 7.2554
Ni 0.0000 0.0000 12.1126
Ni 0.0000 1.8273 5.0642
As 1.4144 0.0000 4.4130
As 1.4144 1.8273 11.4614
```

Computed properties:
Calculated density   5729 kg/m³
Magnetization   1.75 μB/cell

--- R ---
Computed, not measured: a relaxed FeNiAsP2 crystal at the PBE-GGA level of DFT.

Structure (extended XYZ):
```
5
Lattice="-3.3942 -2.7611 0.2476 0.7408 -0.6011 3.4525 -1.6848 4.2473 1.1010" Properties=species:S:1:pos:R:3 pbc="T T T"
P -3.4814 -1.2207 2.3925
P -0.5341 -0.3055 0.0614
Ni -3.6351 0.4482 0.8580
As -2.6475 1.5425 2.6947
Fe -1.3348 -0.4294 2.0697
```

Computed properties:
Calculated density   5891 kg/m³
Magnetization   0.00 μB/cell

Short version: Q is the least stable of them.